This record from the Alexandria database describes a geometry-optimized Dy4CdAgAu2 structure. The functional is PBE-GGA.

Unit cell a=5.1410 b=5.1410 c=8.9241 alpha=73.26 beta=73.26 gamma=60.00
Closest atoms and distances in Å follow each position.
Sites, in units of the cell vectors:
1 Dy 0.3779 0.3779 0.8662  1 Ag 3.08, 4 Au 3.09-3.12, 3 Cd 3.17
2 Dy 0.8726 0.8726 0.3821  3 Ag 3.13, 4 Au 3.20-3.21, 1 Cd 3.22
3 Dy 0.1274 0.1274 0.6179  3 Ag 3.13, 4 Au 3.20-3.21, 1 Cd 3.22
4 Dy 0.6221 0.6221 0.1338  1 Ag 3.08, 4 Au 3.09-3.12, 3 Cd 3.17
5 Cd 0.0000 0.0000 0.0000  8 Dy 3.17-3.22
6 Ag 0.5000 0.5000 0.5000  8 Dy 3.08-3.13
7 Au 0.7458 0.7458 0.7627  8 Dy 3.09-3.21
8 Au 0.2542 0.2542 0.2373  8 Dy 3.09-3.21

Output
- total magnetization (μB per atom) = 0.00
- DFT total energy (eV per atom) = -4.1703
- formation energy from the elements (meV per atom) = -579.1